# 1
BaReIr3, optimized geometry, DFT GGA-PBE; D(E_F) = 4.6 states/eV/f.u.; ΔE_f = 0.7590 eV per atom; spin magnetization = 0.00 μB per cell; energy relative to the lowest polymorph listed for this composition = 0 meV per atom
1.0
4.872 0.000 0.000
0.000 4.872 0.000
0.000 0.000 4.872
Re Ir Ba
1 3 1
Cartesian
0.000 0.000 0.000 Re
0.000 2.436 0.000 Ir
0.000 0.000 2.436 Ir
2.436 0.000 0.000 Ir
2.436 2.436 2.436 Ba



# 2
PrLu3Fe, optimized geometry, DFT GGA-PBE; D(E_F) = 6.8 states/eV/f.u.; ΔE_f = 0.0399 eV per atom; spin magnetization = 0.00 μB per cell
1.0
5.192 0.000 0.000
0.000 5.192 0.000
0.000 0.000 5.192
Pr Lu Fe
1 3 1
Cartesian
2.596 2.596 2.596 Pr
0.000 2.596 0.000 Lu
0.000 0.000 2.596 Lu
2.596 0.000 0.000 Lu
0.000 0.000 0.000 Fe



# 3
KTaIr2, optimized geometry, DFT GGA-PBE; D(E_F) = 3.6 states/eV/f.u.; ΔE_f = 0.9016 eV per atom; spin magnetization = 0.00 μB per cell; energy relative to the lowest polymorph listed for this composition = 937 meV per atom
1.0
2.795 0.000 0.000
0.000 5.806 0.004
0.000 3.258 4.471
Ir K Ta
2 1 1
Cartesian
0.000 0.000 0.000 Ir
1.397 2.903 0.002 Ir
1.397 4.532 2.237 K
0.000 1.629 2.235 Ta



# 4
Tm5RuPb4, optimized geometry, DFT GGA-PBE; D(E_F) = 6.8 states/eV/f.u.; ΔE_f = -0.2488 eV per atom; spin magnetization = 0.00 μB per cell
1.0
-5.862 1.415 -0.803
-2.980 -2.809 -6.239
-4.753 -4.911 2.998
Tm Ru Pb
5 1 4
Cartesian
-10.507 -3.998 -0.341 Tm
-7.187 -5.237 -3.714 Tm
-6.628 -1.015 -0.361 Tm
-3.308 -2.254 -3.734 Tm
-2.442 0.589 -0.335 Tm
-5.475 1.321 -0.750 Ru
-7.345 -4.067 -0.609 Pb
-10.060 -3.850 -3.449 Pb
-3.782 -2.396 -0.629 Pb
-6.497 -2.179 -3.470 Pb



# 5
V2AsPd, optimized geometry, DFT GGA-PBE; D(E_F) = 3.8 states/eV/f.u.; ΔE_f = 0.0516 eV per atom; spin magnetization = 0.00 μB per cell
1.0
6.876 0.000 0.000
0.000 6.876 0.000
3.438 3.438 2.619
As Pd V
2 2 4
Cartesian
3.438 3.438 0.000 As
3.438 6.876 1.309 As
0.000 0.000 0.000 Pd
6.876 3.438 1.309 Pd
5.050 1.719 0.655 V
1.826 5.157 0.655 V
5.157 5.264 1.964 V
8.595 8.488 1.964 V



# 6
LaSm5Al6, optimized geometry, DFT GGA-PBE; D(E_F) = 3.9 states/eV/f.u.; ΔE_f = -0.3690 eV per atom; spin magnetization = 0.00 μB per cell
1.0
-4.121 -1.670 -2.759
2.650 -6.903 0.221
-3.199 2.989 7.931
Al Sm La
6 5 1
Cartesian
-4.016 -3.366 3.073 Al
-5.301 -0.017 2.966 Al
-0.112 -5.909 -1.217 Al
-1.358 -2.664 -1.321 Al
0.632 -5.567 2.426 Al
-0.654 -2.218 2.319 Al
-3.330 -1.254 0.771 Sm
-2.601 -0.858 4.403 Sm
1.325 -3.452 0.110 Sm
-2.069 -4.726 0.989 Sm
-1.339 -4.330 4.621 Sm
0.000 0.000 0.000 La